Entry 1:
LiCrCoN after structural relaxation, computed with GGA-PBE.

Values from the calculation:
- mass density (Mg/m³) = 5.18
- M_tot (μB/cell) = 0.33
- energy above the lowest structure with this stoichiometry (kJ/mol of formula units) = 60

The structure in POSCAR format:
```
LiCrCoN
1.0
2.791 0.000 0.000
0.000 3.958 0.000
0.000 0.000 7.652
Li Cr Co N
2 2 2 2
Direct
0.000 0.000 0.788
0.000 0.500 0.288
0.500 0.000 0.126
0.500 0.500 0.626
0.500 0.000 0.450
0.500 0.500 0.950
0.000 0.000 0.280
0.000 0.500 0.780
```



Entry 2:
LiCrCoN after structural relaxation, computed with GGA-PBE.

Values from the calculation:
- mass density (Mg/m³) = 5.57
- M_tot (μB/cell) = 0.00
- energy above the lowest structure with this stoichiometry (kJ/mol of formula units) = 71

The structure in POSCAR format:
```
LiCrCoN
1.0
2.575 0.000 0.000
0.000 3.465 0.000
0.000 0.000 8.819
Li Cr Co N
2 2 2 2
Direct
0.500 0.000 0.566
0.500 0.500 0.066
0.000 0.000 0.892
0.000 0.500 0.392
0.500 0.000 0.258
0.500 0.500 0.758
0.000 0.000 0.089
0.000 0.500 0.589
```



Entry 3:
LiCrCoN after structural relaxation, computed with GGA-PBE.

Values from the calculation:
- mass density (Mg/m³) = 5.34
- M_tot (μB/cell) = 1.29
- energy above the lowest structure with this stoichiometry (kJ/mol of formula units) = 11

The structure in POSCAR format:
```
LiCrCoN
1.0
2.661 0.000 0.000
-1.330 2.304 0.000
0.000 0.000 20.066
Li Cr Co N
3 3 3 3
Direct
0.000 0.000 0.154
0.333 0.667 0.821
0.667 0.333 0.488
0.000 0.000 0.277
0.333 0.667 0.944
0.667 0.333 0.611
0.000 0.000 0.706
0.333 0.667 0.372
0.667 0.333 0.039
0.000 0.000 0.556
0.333 0.667 0.223
0.667 0.333 0.890
```



Entry 4:
LiCrCoN after structural relaxation, computed with GGA-PBE.

Values from the calculation:
- mass density (Mg/m³) = 5.15
- M_tot (μB/cell) = 2.78
- energy above the lowest structure with this stoichiometry (kJ/mol of formula units) = 48

The structure in POSCAR format:
```
LiCrCoN
1.0
-1.810 2.009 -0.366
0.093 -0.408 -2.696
-8.548 -7.546 0.848
Li Cr Co N
2 2 2 2
Direct
0.000 0.000 0.715
0.500 0.500 0.215
0.000 0.000 0.018
0.500 0.500 0.518
0.000 0.000 0.371
0.500 0.500 0.871
0.000 0.000 0.540
0.500 0.500 0.040
```



Entry 5:
LiCrCoN after structural relaxation, computed with GGA-PBE.

Values from the calculation:
- mass density (Mg/m³) = 4.97
- M_tot (μB/cell) = 5.07
- energy above the lowest structure with this stoichiometry (kJ/mol of formula units) = 63

The structure in POSCAR format:
```
LiCrCoN
1.0
2.958 0.000 0.000
0.000 3.714 0.000
0.000 0.000 8.016
Li Cr Co N
2 2 2 2
Direct
0.000 0.000 0.587
0.500 0.500 0.087
0.000 0.000 0.273
0.500 0.500 0.773
0.000 0.000 0.919
0.500 0.500 0.419
0.000 0.500 0.911
0.500 0.000 0.411
```



Record order is preserved below.
Volume: 10.57, 9.83, 10.25, 10.64, 11.01 Å³/atom